1.
Here is crystalline RbSnPd at its relaxed geometry from OQMD via LeMat-Bulk. Energies are from GGA-PBE.

Theoretical density in g cm⁻³: 4.93
E_tot in eV/atom: -2.500
ΔE to the lowest computed polymorph in meV per atom: 1275.0

Cell lengths 5.2901, 5.2901, 5.2901 Å; angles 60.00, 60.00, 60.00 degrees
Last column: nearest neighbours and their distance in Å.
Element x y z (fractional)
Pd 0.2500 0.2500 0.2500  4 Rb 3.24
Rb 0.0000 0.0000 0.0000  4 Pd 3.24, 4 Sn 3.24
Sn 0.7500 0.7500 0.7500  4 Rb 3.24

---

2.
Here is crystalline SmGaTc at its relaxed geometry from OQMD via LeMat-Bulk. Energies are from GGA-PBE.

Theoretical density in g cm⁻³: 7.99
E_tot in eV/atom: -5.843
ΔE to the lowest computed polymorph in meV per atom: 0.0

Cell lengths 4.5393, 4.5393, 4.5393 Å; angles 60.00, 60.00, 60.00 degrees
Last column: nearest neighbours and their distance in Å.
Element x y z (fractional)
Ga 0.0000 0.0000 0.0000  4 Tc 2.78, 4 Sm 2.78
Sm 0.2500 0.2500 0.2500  4 Ga 2.78
Tc 0.7500 0.7500 0.7500  4 Ga 2.78

---

3.
Here is crystalline Ho2TmZn3AgHg2 at its relaxed geometry from OQMD via LeMat-Bulk. Energies are from GGA-PBE.

Theoretical density in g cm⁻³: 10.27
E_tot in eV/atom: -2.676
Formation enthalpy at 0 K in eV/atom: -0.361

Cell lengths 4.0174, 7.4724, 7.4724 Å; angles 119.81, 90.00, 90.00 degrees
Last column: nearest neighbours and their distance in Å.
Element x y z (fractional)
Tm 0.5000 0.5960 0.5960  1 Ag 3.02, 4 Hg 3.02, 6 Zn 3.30-3.32
Hg 0.0000 0.6660 0.3348  3 Zn 2.86-2.88, 2 Tm 3.02, 4 Ho 3.04
Ag 0.5000 0.9986 0.9986  6 Zn 2.72-2.74, 1 Tm 3.02, 2 Ho 3.03
Hg 0.0000 0.3348 0.6660  3 Zn 2.86-2.88, 2 Tm 3.02, 4 Ho 3.04
Ho 0.5000 0.0003 0.4053  1 Ag 3.03, 4 Hg 3.04, 6 Zn 3.28-3.33
Ho 0.5000 0.4053 0.0003  1 Ag 3.03, 4 Hg 3.04, 6 Zn 3.28-3.33
Zn 0.0000 0.2469 0.2469  2 Ag 2.74, 2 Hg 2.86
Zn 0.0000 0.7527 0.9996  2 Ag 2.72, 2 Hg 2.87-2.88
Zn 0.0000 0.9996 0.7527  2 Ag 2.72, 2 Hg 2.87-2.88

---

4.
Here is crystalline ZnSnHgS3 at its relaxed geometry from OQMD via LeMat-Bulk. Energies are from GGA-PBE.

Theoretical density in g cm⁻³: 5.65
E_tot in eV/atom: -3.289
ΔE to the lowest computed polymorph in meV per atom: 0.0

Cell lengths 7.6666, 7.6666, 10.1279 Å; angles 90.00, 90.00, 151.67 degrees
Last column: nearest neighbours and their distance in Å.
Element x y z (fractional)
S 0.6129 0.3871 0.4795  1 Hg 2.42, 2 Zn 2.53
Sn 0.3365 0.6635 0.2500  4 S 2.57-2.84
S 0.9547 0.0453 0.2500  2 Sn 2.57, 2 Zn 2.62
Zn 0.0000 0.0000 0.5000  6 S 2.53-2.62
Zn 0.0000 0.0000 0.0000  6 S 2.53-2.62
S 0.3871 0.6129 0.5205  1 Hg 2.42, 2 Zn 2.53
S 0.3871 0.6129 0.9795  1 Hg 2.42, 2 Zn 2.53
Sn 0.6635 0.3365 0.7500  4 S 2.57-2.84
S 0.0453 0.9547 0.7500  2 Sn 2.57, 2 Zn 2.62
Hg 0.3423 0.6577 0.7500  2 S 2.42
S 0.6129 0.3871 0.0205  1 Hg 2.42, 2 Zn 2.53
Hg 0.6577 0.3423 0.2500  2 S 2.42